1.
A plane-wave DFT calculation with meta-GGA SCAN was carried out for KCdHg2 at its PBEsol-relaxed geometry.

CIF file:
```
data_KCdHg2
_symmetry_space_group_name_H-M 'P m m m'
_symmetry_Int_Tables_number 47
_cell_length_a 3.403
_cell_length_b 4.043
_cell_length_c 7.766
_cell_angle_alpha 90.00
_cell_angle_beta 90.00
_cell_angle_gamma 90.00
loop_
_symmetry_equiv_pos_as_xyz
'x,y,z'
'-x,-y,-z'
'-x,-y,z'
'x,y,-z'
'x,-y,-z'
'-x,y,z'
'-x,y,-z'
'x,-y,z'
loop_
_atom_site_label
_atom_site_type_symbol
_atom_site_fract_x
_atom_site_fract_y
_atom_site_fract_z
K1 K 0.000 0.000 0.000
Cd1 Cd 0.000 0.000 0.500
Hg1 Hg 0.500 0.500 0.293
```

Computed properties:
Calculated formation energy ... -0.219 eV/atom
Crystal system ... orthorhombic

2.
A plane-wave DFT calculation with meta-GGA SCAN was carried out for KLiLa2 at its PBEsol-relaxed geometry.

CIF file:
```
data_KLiLa2
_symmetry_space_group_name_H-M 'I -4 m 2'
_symmetry_Int_Tables_number 119
_symmetry_space_group_name_Hall 'I -4 -2'
_cell_length_a 5.057
_cell_length_b 5.057
_cell_length_c 11.086
_cell_angle_alpha 90.00
_cell_angle_beta 90.00
_cell_angle_gamma 90.00
loop_
_atom_site_label
_atom_site_type_symbol
_atom_site_fract_x
_atom_site_fract_y
_atom_site_fract_z
K1 K 0.000 0.000 0.000
Li1 Li 0.000 0.500 0.750
La1 La 0.000 0.000 0.500
La2 La 0.000 0.500 0.250
```

Computed properties:
Calculated formation energy ... 0.464 eV/atom
Crystal system ... tetragonal
Excess energy over the best structure of this formula in the dataset ... 19.71 kJ/mol of atoms

3.
A plane-wave DFT calculation with meta-GGA SCAN was carried out for CaLa2Sb2 at its PBEsol-relaxed geometry.

CIF file:
```
data_CaLa2Sb2
_symmetry_space_group_name_H-M 'I 4/m m m'
_symmetry_Int_Tables_number 139
_symmetry_space_group_name_Hall '-I 4 2'
_cell_length_a 4.643
_cell_length_b 4.643
_cell_length_c 14.803
_cell_angle_alpha 90.00
_cell_angle_beta 90.00
_cell_angle_gamma 90.00
loop_
_atom_site_label
_atom_site_type_symbol
_atom_site_fract_x
_atom_site_fract_y
_atom_site_fract_z
Ca1 Ca 0.000 0.000 0.000
La1 La 0.000 0.500 0.250
Sb1 Sb 0.000 0.000 0.400
```

Computed properties:
E_form (uncorrected) ... -0.75 eV per atom
Crystal system ... tetragonal
Excess energy over the best structure of this formula in the dataset ... 42.37 kJ/mol of atoms

| no. | energy (eV/atom) |
| --- | --- |
| 1 | -43.988 |
| 2 | -23.768 |
| 3 | -34.829 |